1.
7
Lattice="5.099 -2.295 0.000 5.099 2.295 0.000 -0.599 0.000 7.366" Properties=species:S:1:pos:R:3 comment="Na2Cd2Hg3 (GGA-PBE, optimized geometry)" de_polymorph_ev_per_atom=0.000 mass_density_g_cm3=8.4 sg="No. 12" pbc="T T T"
Na 0.613 0.000 1.596
Na 8.986 0.000 5.770
Cd 1.802 0.000 4.714
Cd 7.796 0.000 2.652
Hg 3.606 0.000 0.546
Hg 4.799 0.000 3.683
Hg 5.992 0.000 6.819

=====

2.
7
Lattice="2.426 -10.079 0.000 2.426 10.079 0.000 0.000 0.000 3.447" Properties=species:S:1:pos:R:3 comment="NaCd4Hg2 (GGA-PBE, optimized geometry)" de_polymorph_ev_per_atom=0.000 mass_density_g_cm3=8.6 sg="No. 65" pbc="T T T"
Na 0.000 0.000 0.000
Cd 2.426 6.923 1.723
Cd 2.426 4.139 0.000
Cd 2.426 -4.139 0.000
Cd 2.426 -6.923 1.723
Hg 2.426 1.462 1.723
Hg 2.426 -1.462 1.723

=====

3.
7
Lattice="-2.824 2.824 7.767 2.824 -2.824 7.767 2.824 2.824 -7.767" Properties=species:S:1:pos:R:3 comment="Na2CdHg4 (GGA-PBE, optimized geometry)" de_polymorph_ev_per_atom=0.078 mass_density_g_cm3=6.4 sg="No. 139" pbc="T T T"
Na 0.000 0.000 1.726
Na 0.000 0.000 13.808
Cd 0.000 0.000 7.767
Hg 2.824 0.000 0.000
Hg 0.000 0.000 4.744
Hg 0.000 2.824 0.000
Hg 0.000 0.000 10.790

=====

4.
19
Lattice="5.691 3.286 4.144 -5.691 3.286 4.144 0.000 -6.571 4.144" Properties=species:S:1:pos:R:3 comment="NaCd12Hg6 (GGA-PBE, optimized geometry)" de_polymorph_ev_per_atom=0.011 mass_density_g_cm3=9.2 sg="No. 148" pbc="T T T"
Na 0.000 0.000 0.000
Cd -1.764 0.711 2.500
Cd 0.266 -1.883 2.500
Cd -1.755 -0.935 4.963
Cd 1.498 1.172 2.500
Cd 1.687 -1.053 4.963
Cd -0.068 -1.988 7.468
Cd 0.068 1.988 4.963
Cd -1.687 1.053 7.468
Cd -1.498 -1.172 9.931
Cd 1.755 0.935 7.468
Cd -0.266 1.883 9.931
Cd 1.764 -0.711 9.931
Hg -0.387 -3.634 4.949
Hg -3.341 -1.482 7.482
Hg -2.954 2.153 4.949
Hg 2.954 -2.153 7.482
Hg 3.341 1.482 4.949
Hg 0.387 3.634 7.482

=====

5.
14
Lattice="3.852 2.224 7.055 -3.852 2.224 7.055 0.000 -4.448 7.055" Properties=species:S:1:pos:R:3 comment="Na3Cd3Hg (GGA-PBE, optimized geometry)" de_polymorph_ev_per_atom=0.049 mass_density_g_cm3=5.6 sg="No. 148" pbc="T T T"
Na -2.668 -0.617 9.649
Na -0.799 -2.620 11.516
Na -1.869 2.002 11.516
Na 1.869 -2.002 9.649
Na 0.799 2.620 9.649
Na 2.668 0.617 11.516
Cd -0.570 -1.699 7.606
Cd -1.186 1.343 7.606
Cd -1.756 -0.355 13.559
Cd 1.756 0.355 7.606
Cd 1.186 -1.343 13.559
Cd 0.570 1.699 13.559
Hg 0.000 0.000 1.899
Hg 0.000 0.000 19.266

=====

6.
16
Lattice="9.106 0.000 0.000 -4.553 7.886 0.000 0.000 0.000 5.845" Properties=species:S:1:pos:R:3 comment="Na3Cd3Hg10 (GGA-PBE, optimized geometry)" mass_density_g_cm3=9.5 sg="No. 189" final_energy_ev_per_atom=-0.699 pbc="T T T"
Na -2.710 4.693 0.000
Na 1.843 3.193 0.000
Na 5.419 0.000 0.000
Cd -1.786 3.093 2.923
Cd 3.571 0.000 2.923
Cd 2.767 4.793 2.923
Hg -0.983 1.703 0.000
Hg -3.577 6.196 2.923
Hg 0.976 1.690 2.923
Hg 1.966 0.000 0.000
Hg 0.000 5.257 1.469
Hg 0.000 5.257 4.377
Hg 4.553 2.629 1.469
Hg 4.553 2.629 4.377
Hg 3.570 6.183 0.000
Hg 7.154 0.000 2.923

=====

7.
11
Lattice="6.053 0.000 0.000 2.867 6.442 0.000 0.348 3.541 7.116" Properties=species:S:1:pos:R:3 comment="NaCd5Hg5 (GGA-PBE, optimized geometry)" mass_density_g_cm3=9.5 sg="No. 2" final_energy_ev_per_atom=-0.694 pbc="T T T"
Na 0.000 0.000 0.000
Cd 1.607 4.991 3.558
Cd 4.567 6.324 2.801
Cd 4.136 6.159 5.900
Cd 5.132 3.824 1.216
Cd 4.700 3.659 4.315
Hg 2.048 2.873 1.401
Hg 1.591 2.306 4.559
Hg 3.026 0.000 0.000
Hg 7.676 7.677 2.557
Hg 7.220 7.110 5.715

=====

8.
12
Lattice="0.000 5.081 9.010 3.223 0.000 9.010 3.223 5.081 0.000" Properties=species:S:1:pos:R:3 comment="Na2Cd3Hg (GGA-PBE, optimized geometry)" mass_density_g_cm3=6.6 sg="No. 69" final_energy_ev_per_atom=-1.098 pbc="T T T"
Na 4.847 5.081 9.010
Na 1.611 2.540 4.505
Na 4.834 7.621 13.515
Na 1.599 5.081 9.010
Cd 3.223 2.542 7.523
Cd 3.223 5.081 6.009
Cd 3.223 2.542 10.497
Cd 3.223 7.619 7.523
Cd 3.223 5.081 12.011
Cd 3.223 7.619 10.497
Hg 3.223 5.081 3.022
Hg 3.223 5.081 14.997

=====

9.
22
Lattice="1.775 -11.960 0.000 1.775 11.960 0.000 0.000 0.000 13.576" Properties=species:S:1:pos:R:3 comment="Na3CdHg7 (GGA-PBE, optimized geometry)" mass_density_g_cm3=9.1 sg="No. 63" final_energy_ev_per_atom=-0.795 pbc="T T T"
Na 1.775 10.099 7.328
Na 1.775 10.099 13.035
Na 1.775 6.158 3.394
Na 1.775 -6.158 10.182
Na 1.775 -10.099 0.541
Na 1.775 -10.099 6.247
Cd 1.775 9.472 3.394
Cd 1.775 -9.472 10.182
Hg 1.775 7.075 7.970
Hg 1.775 7.075 12.394
Hg 1.775 3.927 8.069
Hg 1.775 3.927 12.294
Hg 1.775 2.620 3.394
Hg 1.775 0.400 8.586
Hg 1.775 0.400 11.777
Hg 1.775 -0.400 1.798
Hg 1.775 -0.400 4.990
Hg 1.775 -2.620 10.182
Hg 1.775 -3.927 1.281
Hg 1.775 -3.927 5.507
Hg 1.775 -7.075 1.182
Hg 1.775 -7.075 5.606

=====

10.
5
Lattice="5.835 0.000 0.000 0.000 5.835 0.000 0.000 0.000 5.835" Properties=species:S:1:pos:R:3 comment="Na3CdHg (GGA-PBE, optimized geometry)" de_polymorph_ev_per_atom=0.242 mass_density_g_cm3=3.2 sg="No. 221" pbc="T T T"
Na 0.000 0.000 2.918
Na 0.000 2.918 0.000
Na 2.918 0.000 0.000
Cd 0.000 0.000 0.000
Hg 2.918 2.918 2.918

=====

11.
12
Lattice="4.682 0.000 0.000 0.000 4.303 0.000 -1.671 0.000 16.275" Properties=species:S:1:pos:R:3 comment="Na3Cd2Hg7 (GGA-PBE, optimized geometry)" mass_density_g_cm3=8.6 sg="No. 10" final_energy_ev_per_atom=-0.768 pbc="T T T"
Na 0.000 0.000 0.000
Na 0.393 2.151 10.177
Na 2.618 2.151 6.098
Cd 0.175 0.000 4.474
Cd 2.836 0.000 11.800
Hg 0.106 2.151 2.368
Hg 0.335 0.000 7.294
Hg 0.531 0.000 13.714
Hg 2.341 2.151 0.000
Hg 2.480 0.000 2.561
Hg 2.676 0.000 8.981
Hg 2.905 2.151 13.907